Record 1
Computed, not measured: a geometry-optimized ScCuPb structure at the PBE-GGA level of DFT.

Lattice parameters (Å, degrees): 7.9618 7.9618 3.4160 90.00 90.00 120.00
Positions (direct):
Sc 0.0000 0.2962 0.0000
Sc 0.2962 0.0000 0.0000
Sc 0.7038 0.7038 0.0000
Cu 0.0000 0.6328 0.5000
Cu 0.3672 0.3672 0.5000
Cu 0.6328 0.0000 0.5000
Pb 0.0000 0.0000 0.5000
Pb 0.3333 0.6667 0.0000
Pb 0.6667 0.3333 0.0000

Properties
Total DFT energy (no corrections) (eV per atom): -4.55

***

Record 2
Computed, not measured: a geometry-optimized ScCuPb structure at the PBE-GGA level of DFT.

Lattice parameters (Å, degrees): 7.0725 3.3877 10.4078 90.00 90.00 90.00
Positions (direct):
Sc 0.1877 0.2500 0.0752
Sc 0.3123 0.7500 0.5752
Sc 0.6877 0.2500 0.4248
Sc 0.8123 0.7500 0.9248
Cu 0.0848 0.2500 0.4208
Cu 0.4152 0.7500 0.9208
Cu 0.5848 0.2500 0.0792
Cu 0.9152 0.7500 0.5792
Pb 0.1141 0.2500 0.7820
Pb 0.3859 0.7500 0.2820
Pb 0.6141 0.2500 0.7180
Pb 0.8859 0.7500 0.2180

Properties
Total DFT energy (no corrections) (eV per atom): -4.70

***

Record 3
Computed, not measured: a geometry-optimized ScCuPb structure at the PBE-GGA level of DFT.

Lattice parameters (Å, degrees): 7.2805 7.2805 3.9516 90.00 90.00 120.00
Positions (direct):
Sc 0.0000 0.6087 0.0000
Sc 0.3913 0.3913 0.0000
Sc 0.6087 0.0000 0.0000
Cu 0.0000 0.0000 0.0000
Cu 0.3333 0.6667 0.5000
Cu 0.6667 0.3333 0.5000
Pb 0.0000 0.2730 0.5000
Pb 0.2730 0.0000 0.5000
Pb 0.7270 0.7270 0.5000

Properties
Total DFT energy (no corrections) (eV per atom): -4.78

***

Record 4
Computed, not measured: a geometry-optimized ScCuTe2PbSe structure at the PBE-GGA level of DFT.

Lattice parameters (Å, degrees): 7.4895 7.4895 10.2753 90.00 90.00 147.91
Positions (direct):
Sc 0.0000 0.0000 0.0000
Sc 0.0000 0.0000 0.5000
Cu 0.4758 0.5242 0.7500
Cu 0.5242 0.4758 0.2500
Te 0.3583 0.6417 0.5540
Te 0.3583 0.6417 0.9460
Te 0.6417 0.3583 0.0540
Te 0.6417 0.3583 0.4460
Pb 0.2578 0.7422 0.2500
Pb 0.7422 0.2578 0.7500
Se 0.0696 0.9304 0.7500
Se 0.9304 0.0696 0.2500

Properties
Total DFT energy (no corrections) (eV per atom): -4.65

***

Record 5
Computed, not measured: a geometry-optimized ScCuTcPb structure at the PBE-GGA level of DFT.

Lattice parameters (Å, degrees): 6.5714 6.5714 6.5714 90.00 90.00 90.00
Positions (direct):
Sc 0.0000 0.0000 0.0000
Sc 0.0000 0.5000 0.5000
Sc 0.5000 0.0000 0.5000
Sc 0.5000 0.5000 0.0000
Cu 0.2500 0.2500 0.7500
Cu 0.2500 0.7500 0.2500
Cu 0.7500 0.2500 0.2500
Cu 0.7500 0.7500 0.7500
Tc 0.2500 0.2500 0.2500
Tc 0.2500 0.7500 0.7500
Tc 0.7500 0.2500 0.7500
Tc 0.7500 0.7500 0.2500
Pb 0.0000 0.0000 0.5000
Pb 0.0000 0.5000 0.0000
Pb 0.5000 0.0000 0.0000
Pb 0.5000 0.5000 0.5000

Properties
Excess energy over the best structure of this formula in the dataset (kJ per mole of atoms): 0.0

***

Record 6
Computed, not measured: a geometry-optimized ScCuTcPb structure at the PBE-GGA level of DFT.

Lattice parameters (Å, degrees): 6.6041 6.6041 6.6041 90.00 90.00 90.00
Positions (direct):
Sc 0.0000 0.0000 0.0000
Sc 0.0000 0.5000 0.5000
Sc 0.5000 0.0000 0.5000
Sc 0.5000 0.5000 0.0000
Cu 0.0000 0.0000 0.5000
Cu 0.0000 0.5000 0.0000
Cu 0.5000 0.0000 0.0000
Cu 0.5000 0.5000 0.5000
Tc 0.2500 0.2500 0.7500
Tc 0.2500 0.7500 0.2500
Tc 0.7500 0.2500 0.2500
Tc 0.7500 0.7500 0.7500
Pb 0.2500 0.2500 0.2500
Pb 0.2500 0.7500 0.7500
Pb 0.7500 0.2500 0.7500
Pb 0.7500 0.7500 0.2500

Properties
Excess energy over the best structure of this formula in the dataset (kJ per mole of atoms): 18.8